No. 1
Here is TaOs3I after structural relaxation from Alexandria via LeMat-Bulk. Energies are from PBE.

Values from the calculation:
energy above the most stable polymorph in this dataset: 0 meV per atom
E_form (uncorrected): 2402 meV per atom
space-group type: Pm-3m
energy: -35.08 eV per cell
V: 23.1 Å³/atom
N(E_F): 1.009 states/eV per atom

Unit cell a=4.8680 b=4.8680 c=4.8680 alpha=90.00 beta=90.00 gamma=90.00
Positions (direct):
Ta: 0.0000 0.0000 0.0000
Os: 0.0000 0.0000 0.5000
Os: 0.0000 0.5000 0.0000
Os: 0.5000 0.0000 0.0000
I: 0.5000 0.5000 0.5000



No. 2
Here is LiCeZn4 after structural relaxation from Alexandria via LeMat-Bulk. Energies are from PBE.

Values from the calculation:
energy above the most stable polymorph in this dataset: 87 meV per atom
space-group type: Cmcm
DFT formation energy: -0.123 eV/atom
energy: -27.36 eV per cell
V: 18.2 Å³/atom
N(E_F): 1.374 states/eV per atom

Unit cell a=8.0531 b=8.0531 c=6.4358 alpha=90.00 beta=90.00 gamma=148.54
Positions (direct):
Li: 0.2262 0.7738 0.7500
Li: 0.7738 0.2262 0.2500
Ce: 0.1277 0.8723 0.2500
Ce: 0.8723 0.1277 0.7500
Zn: 0.0671 0.9329 0.7500
Zn: 0.3312 0.6688 0.0579
Zn: 0.3312 0.6688 0.4421
Zn: 0.5000 0.5000 0.0000
Zn: 0.5000 0.5000 0.5000
Zn: 0.6688 0.3312 0.5579
Zn: 0.6688 0.3312 0.9421
Zn: 0.9329 0.0671 0.2500



No. 3
Here is Al2AgTe after structural relaxation from Alexandria via LeMat-Bulk. Energies are from PBE.

Values from the calculation:
E_form (uncorrected): 58 meV per atom
space-group type: C2/m
energy: -13.25 eV per cell
V: 22.0 Å³/atom
N(E_F): 0.398 states/eV per atom

Unit cell a=4.5177 b=4.5177 c=6.1513 alpha=109.26 beta=109.26 gamma=48.64
Positions (direct):
Al: 0.2503 0.2503 0.1880
Al: 0.7497 0.7497 0.8120
Ag: 0.5000 0.5000 0.0000
Te: 0.0000 0.0000 0.5000



No. 4
Here is Ba2PrGaSe5 after structural relaxation from Alexandria via LeMat-Bulk. Energies are from PBE.

Values from the calculation:
E_form (uncorrected): -1634 meV per atom
space-group type: Cmc2_1
energy: -87.56 eV per cell
V: 31.4 Å³/atom

Unit cell a=9.9014 b=9.9014 c=13.5875 alpha=90.00 beta=90.00 gamma=154.93
Positions (direct):
Ba: 0.1200 0.8800 0.5000
Ba: 0.1237 0.8763 0.1459
Ba: 0.8763 0.1237 0.6459
Ba: 0.8800 0.1200 0.0000
Pr: 0.2023 0.7977 0.8431
Pr: 0.7977 0.2023 0.3431
Ga: 0.4428 0.5572 0.2363
Ga: 0.5572 0.4428 0.7363
Se: 0.0387 0.9613 0.8367
Se: 0.2982 0.7018 0.4901
Se: 0.3187 0.6813 0.1858
Se: 0.3506 0.6494 0.8241
Se: 0.4984 0.5016 0.5821
Se: 0.5016 0.4984 0.0821
Se: 0.6494 0.3506 0.3241
Se: 0.6813 0.3187 0.6858
Se: 0.7018 0.2982 0.9901
Se: 0.9613 0.0387 0.3367



No. 5
Here is TbEuGePt after structural relaxation from Alexandria via LeMat-Bulk. Energies are from PBE.

Values from the calculation:
space-group type: F-43m
DFT formation energy: -0.797 eV/atom
energy: -28.75 eV per cell
V: 23.3 Å³/atom
N(E_F): 2.658 states/eV per atom

Unit cell a=5.0890 b=5.0890 c=5.0890 alpha=60.00 beta=60.00 gamma=60.00
Positions (direct):
Tb: 0.0000 0.0000 0.0000
Eu: 0.5000 0.5000 0.5000
Ge: 0.2500 0.2500 0.2500
Pt: 0.7500 0.7500 0.7500



No. 6
Here is KFeSb3 after structural relaxation from Alexandria via LeMat-Bulk. Energies are from PBE.

Values from the calculation:
energy above the most stable polymorph in this dataset: 0 meV per atom
E_form (uncorrected): 199 meV per atom
space-group type: Pm-3m
energy: -20.93 eV per cell
V: 26.9 Å³/atom
N(E_F): 0.095 states/eV per atom

Unit cell a=5.1209 b=5.1209 c=5.1209 alpha=90.00 beta=90.00 gamma=90.00
Positions (direct):
K: 0.0000 0.0000 0.0000
Fe: 0.5000 0.5000 0.5000
Sb: 0.0000 0.5000 0.5000
Sb: 0.5000 0.0000 0.5000
Sb: 0.5000 0.5000 0.0000



No. 7
Here is YTiFe10 after structural relaxation from Alexandria via LeMat-Bulk. Energies are from PBE.

Values from the calculation:
space-group type: Pmmm
DFT formation energy: -0.001 eV/atom
energy: -98.99 eV per cell
V: 13.5 Å³/atom
N(E_F): 0.974 states/eV per atom

Unit cell a=3.9813 b=4.8458 c=8.3806 alpha=90.00 beta=90.00 gamma=90.00
Positions (direct):
Y: 0.0000 0.0000 0.0000
Ti: 0.0000 0.5000 0.5000
Fe: 0.0000 0.0000 0.3439
Fe: 0.0000 0.0000 0.6561
Fe: 0.0000 0.5000 0.1816
Fe: 0.0000 0.5000 0.8184
Fe: 0.5000 0.0000 0.5000
Fe: 0.5000 0.2523 0.2577
Fe: 0.5000 0.2523 0.7423
Fe: 0.5000 0.5000 0.0000
Fe: 0.5000 0.7477 0.2577
Fe: 0.5000 0.7477 0.7423



No. 8
Here is ZnGaHgPb after structural relaxation from Alexandria via LeMat-Bulk. Energies are from PBE.

Values from the calculation:
space-group type: F-43m
DFT formation energy: 0.186 eV/atom
energy: -7.57 eV per cell
V: 23.4 Å³/atom
N(E_F): 1.082 states/eV per atom

Unit cell a=5.0982 b=5.0982 c=5.0982 alpha=60.00 beta=60.00 gamma=60.00
Positions (direct):
Zn: 0.0000 0.0000 0.0000
Ga: 0.5000 0.5000 0.5000
Hg: 0.2500 0.2500 0.2500
Pb: 0.7500 0.7500 0.7500



No. 9
Here is MgZrN2F after structural relaxation from Alexandria via LeMat-Bulk. Energies are from PBE.

Values from the calculation:
energy above the most stable polymorph in this dataset: 211 meV per atom
E_form (uncorrected): -694 meV per atom
space-group type: P4/mmm
energy: -32.13 eV per cell
V: 11.3 Å³/atom
N(E_F): 0.338 states/eV per atom

Unit cell a=3.9710 b=3.9710 c=3.5676 alpha=90.00 beta=90.00 gamma=90.00
Positions (direct):
Mg: 0.0000 0.0000 0.0000
Zr: 0.5000 0.5000 0.5000
N: 0.0000 0.5000 0.0000
N: 0.5000 0.0000 0.0000
F: 0.0000 0.0000 0.5000



No. 10
Here is Rb2Hg2Se after structural relaxation from Alexandria via LeMat-Bulk. Energies are from PBE.

Values from the calculation:
energy above the most stable polymorph in this dataset: 98 meV per atom
E_form (uncorrected): -412 meV per atom
space-group type: P4/mbm
energy: -16.17 eV per cell
V: 45.3 Å³/atom
N(E_F): 0.000 states/eV per atom

Unit cell a=8.7253 b=8.7253 c=5.9526 alpha=90.00 beta=90.00 gamma=90.00
Positions (direct):
Rb: 0.1630 0.3370 0.0000
Rb: 0.3370 0.8370 0.0000
Rb: 0.6630 0.1630 0.0000
Rb: 0.8370 0.6630 0.0000
Hg: 0.1469 0.6469 0.5000
Hg: 0.3531 0.1469 0.5000
Hg: 0.6469 0.8531 0.5000
Hg: 0.8531 0.3531 0.5000
Se: 0.0000 0.0000 0.0000
Se: 0.5000 0.5000 0.0000



No. 11
Here is BeNbRe3 after structural relaxation from Alexandria via LeMat-Bulk. Energies are from PBE.

Values from the calculation:
energy above the most stable polymorph in this dataset: 2237 meV per atom
space-group type: Pm-3m
DFT formation energy: 2.696 eV/atom
energy: -37.66 eV per cell
V: 21.4 Å³/atom
N(E_F): 1.070 states/eV per atom

Unit cell a=4.7482 b=4.7482 c=4.7482 alpha=90.00 beta=90.00 gamma=90.00
Positions (direct):
Be: 0.0000 0.0000 0.0000
Nb: 0.5000 0.5000 0.5000
Re: 0.0000 0.5000 0.5000
Re: 0.5000 0.0000 0.5000
Re: 0.5000 0.5000 0.0000



No. 12
Here is Ti2NbMoOs after structural relaxation from Alexandria via LeMat-Bulk. Energies are from PBE.

Values from the calculation:
space-group type: P4/mmm
DFT formation energy: 1.108 eV/atom
energy: -42.38 eV per cell
V: 19.7 Å³/atom
N(E_F): 1.495 states/eV per atom

Unit cell a=4.5557 b=4.5557 c=4.7480 alpha=90.00 beta=90.00 gamma=90.00
Positions (direct):
Ti: 0.0000 0.5000 0.0000
Ti: 0.5000 0.0000 0.0000
Nb: 0.0000 0.0000 0.5000
Mo: 0.5000 0.5000 0.0000
Os: 0.5000 0.5000 0.5000